12
Lattice="5.513 -0.002 0.003 -2.757 4.774 0.003 -0.911 -1.577 6.213" Properties=species:S:1:pos:R:3 comment="PBE with a Hubbard U Tl3Ni2RhO6, relaxed" mass_density_g_cm3=9.4 dos_at_fermi_per_ev_atom=0.3592 final_energy_ev_per_cell=-57.3 pbc="T T T"
O 2.721 1.663 5.212
Tl -1.823 3.184 3.110
Rh 0.000 0.000 0.000
O 0.080 3.188 5.212
O -0.028 -0.049 5.176
Ni 2.756 1.591 0.003
O -0.876 1.533 1.008
Tl 3.669 0.012 3.110
Tl 0.923 1.598 3.110
O 1.765 0.008 1.008
O 1.874 3.245 1.044
Ni 0.001 3.182 0.003